Sb2OsIF: relaxed, PBE.

## Properties
* spin magnetization: 0.000 μB per atom
* energy relative to the elements, uncorrected: 1.59 eV per formula unit

Cell: 5.0592 5.0592 5.6461 Å, 90.00 90.00 90.00°
Fractional coordinates of all 5 atoms:
I  0.0000  0.0000  0.5000
Sb  0.0000  0.5000  0.0000
Sb  0.5000  0.0000  0.0000
Os  0.0000  0.0000  0.0000
F  0.5000  0.5000  0.5000

=====

Tm6Cu2Hg: relaxed, PBE.

## Properties
* spin magnetization: 0.000 μB per atom
* ΔE_f: -238.3 meV/atom

Cell: 8.3476 8.3476 8.3476 Å, 106.34 110.11 112.01°
Fractional coordinates of all 18 atoms:
Tm  0.5330  0.7168  0.8162
Tm  0.4670  0.2832  0.1838
Tm  0.0994  0.2832  0.8162
Tm  0.9006  0.7168  0.1838
Tm  0.8030  0.7595  0.5625
Tm  0.1970  0.2405  0.4375
Tm  0.1970  0.7595  0.9565
Tm  0.8030  0.2405  0.0435
Tm  0.6989  0.3753  0.6765
Tm  0.3011  0.6247  0.3235
Tm  0.3011  0.9776  0.6765
Tm  0.6989  0.0224  0.3235
Cu  0.5000  0.3783  0.8783
Cu  0.5000  0.6217  0.1217
Cu  0.6452  0.0000  0.6452
Cu  0.3548  0.0000  0.3548
Hg  0.0000  0.5000  0.5000
Hg  0.0000  0.0000  0.0000

=====

KLiCuBr3: relaxed, PBE.

## Properties
* spin magnetization: 0.000 μB per atom
* energy relative to the elements, uncorrected: -6.73 eV per formula unit

Cell: 7.1791 7.1791 8.1053 Å, 72.48 72.48 73.61°
Fractional coordinates of all 12 atoms:
K  0.6940  0.6940  0.8681
K  0.3060  0.3060  0.1319
Li  0.0767  0.0767  0.7224
Li  0.9233  0.9233  0.2776
Cu  0.3455  0.6545  0.5000
Cu  0.6545  0.3455  0.5000
Br  0.3008  0.3008  0.5356
Br  0.1779  0.7101  0.7975
Br  0.7101  0.1779  0.7975
Br  0.2899  0.8221  0.2025
Br  0.8221  0.2899  0.2025
Br  0.6992  0.6992  0.4644

=====

CaAc7Y2: relaxed, PBE.

## Properties
* spin magnetization: 0.000 μB per atom
* ΔE_f: 561.1 meV/atom

Cell: 6.2577 9.6862 9.6861 Å, 63.42 90.00 90.00°
Fractional coordinates of all 10 atoms:
Ca  0.0000  0.0000  0.0000
Ac  0.0000  0.2575  0.2575
Ac  0.0000  0.7425  0.7425
Ac  0.5000  0.9395  0.3117
Ac  0.5000  0.0605  0.6883
Ac  0.5000  0.6883  0.0605
Ac  0.5000  0.3117  0.9395
Ac  0.5000  0.5000  0.5000
Y  0.5000  0.2979  0.2979
Y  0.5000  0.7021  0.7021

=====

RbCu4Te5: relaxed, PBE.

## Properties
* spin magnetization: 0.000 μB per atom
* energy relative to the elements, uncorrected: -1.64 eV per formula unit

Cell: 5.8833 7.9657 11.8680 Å, 90.00 90.00 90.00°
Fractional coordinates of all 20 atoms:
Rb  0.8276  0.0000  0.0000
Rb  0.1724  0.5000  0.5000
Cu  0.0550  0.0000  0.7083
Cu  0.3977  0.6691  0.0000
Cu  0.3977  0.3309  0.0000
Cu  0.0550  0.0000  0.2917
Cu  0.9450  0.5000  0.2083
Cu  0.6023  0.8309  0.5000
Cu  0.6023  0.1691  0.5000
Cu  0.9450  0.5000  0.7917
Te  0.2686  0.7424  0.8020
Te  0.2686  0.2576  0.8020
Te  0.7719  0.5000  0.0000
Te  0.2686  0.7424  0.1980
Te  0.2686  0.2576  0.1980
Te  0.7314  0.7576  0.3020
Te  0.7314  0.2424  0.3020
Te  0.2281  0.0000  0.5000
Te  0.7314  0.2424  0.6980
Te  0.7314  0.7576  0.6980

=====

TmPaHg2: relaxed, PBE.

## Properties
* spin magnetization: 0.548 μB per atom
* ΔE_f: -51.9 meV/atom

Cell: 5.2491 5.2491 5.2491 Å, 60.00 60.00 60.00°
Fractional coordinates of all 4 atoms:
Pa  0.0000  0.0000  0.0000
Tm  0.5000  0.5000  0.5000
Hg  0.2500  0.2500  0.2500
Hg  0.7500  0.7500  0.7500